The following is a DFT calculation (SCAN) of Li2VFeP2O8 at its PBEsol-relaxed geometry.

Summary:
The value obtained for the volume is 10.18 Å³ per atom. For the electronic total energy, the calculation gives -289.53 eV for the cell shown. Its uncorrected formation energy is -3253 kJ/mol of formula units. The value obtained for the density of states at the Fermi level is 5.40 states/eV per cell. Its crystal system is monoclinic.

Structure (POSCAR):
```
Li2VFeP2O8
1.0
-1.7089 -4.3200 -0.4137
5.4140 -2.2465 1.0953
-2.0879 -0.1426 10.0285
Li V Fe P O
4 2 2 4 16
Direct
0.0000 0.0000 0.0000
0.0000 0.5000 0.0000
0.5000 0.0000 0.5000
0.5000 0.5000 0.5000
0.5140 0.2500 0.2230
0.4860 0.7500 0.7770
0.9763 0.2500 0.7226
0.0237 0.7500 0.2774
0.4213 0.2500 0.9087
0.5787 0.7500 0.0913
0.9221 0.7500 0.5953
0.0779 0.2500 0.4047
0.7075 0.7500 0.9512
0.2925 0.2500 0.0488
0.7493 0.2500 0.9079
0.2507 0.7500 0.0921
0.2510 0.7500 0.5976
0.7490 0.2500 0.4024
0.2019 0.2500 0.5443
0.7981 0.7500 0.4557
0.2843 0.0432 0.8378
0.2843 0.4568 0.8378
0.7157 0.5432 0.1622
0.7157 0.9568 0.1622
0.7833 0.5448 0.6682
0.7833 0.9552 0.6682
0.2167 0.0448 0.3318
0.2167 0.4552 0.3318
```